Record 1
Below is a relaxed structure of PaMnGe, with properties calculated at the GGA-PBE level.

Total moment in μB per atom: 0.448
Formation energy from the elements in eV/atom: 0.00

Cell lengths 4.2255, 4.2255, 22.0934 Å; angles 90.00, 90.00, 120.00 degrees
Space group R-3m (No. 166, hexagonal axes)
Asymmetric unit:
Pa 0.0000 0.0000 0.1322
Mn 0.0000 0.0000 0.2705
Ge 0.0000 0.0000 0.3848

***

Record 2
Below is a relaxed structure of PuPaMnGe, with properties calculated at the GGA-PBE level.

Total moment in μB per atom: 1.445
Formation energy from the elements in eV/atom: -0.06

Cell lengths 6.695, 6.695, 6.695 Å; angles 90.00, 90.00, 90.00 degrees
Space group F-43m (No. 216)
Asymmetric unit:
Pu 0.000 0.000 0.000
Pa 0.250 0.250 0.250
Mn 0.000 0.000 0.500
Ge 0.250 0.250 0.750

***

Record 3
Below is a relaxed structure of Pa2MnGe4Rh3, with properties calculated at the GGA-PBE level.

Total moment in μB per atom: 0.261
Formation energy from the elements in eV/atom: -0.63

Cell lengths 3.994, 3.994, 11.082 Å; angles 90.00, 90.00, 90.00 degrees
Space group P-4m2 (No. 115)
Asymmetric unit:
Pa 0.000 0.500 0.250
Mn 0.000 0.000 0.500
Ge 0.000 0.000 0.000
Ge 0.000 0.500 0.632
Ge 0.500 0.500 0.000
Rh 0.000 0.500 0.851
Rh 0.500 0.500 0.500

***

Record 4
Below is a relaxed structure of Pa2MnGe3Rh4, with properties calculated at the GGA-PBE level.

Total moment in μB per atom: 0.302
Formation energy from the elements in eV/atom: -0.66

Cell lengths 4.054, 4.054, 10.721 Å; angles 90.00, 90.00, 90.00 degrees
Space group P-4m2 (No. 115)
Asymmetric unit:
Pa 0.000 0.500 0.250
Mn 0.000 0.000 0.500
Ge 0.000 0.500 0.869
Ge 0.500 0.500 0.500
Rh 0.000 0.000 0.000
Rh 0.000 0.500 0.643
Rh 0.500 0.500 0.000

***

Record 5
Below is a relaxed structure of Pa2MnGe2Ru5, with properties calculated at the GGA-PBE level.

Total moment in μB per atom: 0.477
Formation energy from the elements in eV/atom: -0.31

Cell lengths 9.809, 9.809, 3.545 Å; angles 90.00, 90.00, 90.00 degrees
Space group P4/mbm (No. 127)
Asymmetric unit:
Pa 0.176 0.324 0.000
Mn 0.000 0.000 0.000
Ge 0.124 0.624 0.000
Ru 0.000 0.500 0.500
Ru 0.079 0.796 0.500

***

Record 6
Below is a relaxed structure of PaMnGe2Ru, with properties calculated at the GGA-PBE level.

Total moment in μB per atom: 0.499
Formation energy from the elements in eV/atom: -0.43

Cell lengths 4.064, 4.064, 10.501 Å; angles 90.00, 90.00, 90.00 degrees
Space group I-4m2 (No. 119)
Asymmetric unit:
Pa 0.000 0.000 0.000
Mn 0.000 0.500 0.750
Ge 0.000 0.000 0.382
Ru 0.000 0.500 0.250

***

Record 7
Below is a relaxed structure of PaMnVGe2, with properties calculated at the GGA-PBE level.

Total moment in μB per atom: 0.434
Formation energy from the elements in eV/atom: -0.34

Cell lengths 3.956, 3.956, 11.101 Å; angles 90.00, 90.00, 90.00 degrees
Space group I-4m2 (No. 119)
Asymmetric unit:
Pa 0.000 0.000 0.000
Mn 0.000 0.500 0.750
V 0.000 0.500 0.250
Ge 0.000 0.000 0.386

***

Record 8
Below is a relaxed structure of PaMnVGe3, with properties calculated at the GGA-PBE level.

Total moment in μB per atom: 0.000
Formation energy from the elements in eV/atom: -0.07

Cell lengths 5.955, 9.951, 7.416 Å; angles 90.00, 90.00, 90.00 degrees
Space group Cmcm (No. 63)
Asymmetric unit:
Pa 0.000 0.224 0.250
Mn 0.000 0.446 0.250
V 0.000 0.075 0.750
Ge 0.000 0.310 0.750
Ge 0.243 0.500 0.000

***

Record 9
Below is a relaxed structure of Pa2MnZn2Ge4, with properties calculated at the GGA-PBE level.

Total moment in μB per atom: 0.345
Formation energy from the elements in eV/atom: -0.29

Cell lengths 6.249, 6.249, 8.476 Å; angles 90.00, 90.00, 90.00 degrees
Space group I4/mmm (No. 139)
Asymmetric unit:
Pa 0.000 0.500 0.250
Mn 0.000 0.000 0.000
Zn 0.000 0.000 0.290
Ge 0.226 0.226 0.500

***

Record 10
Below is a relaxed structure of MnGe3Pb, with properties calculated at the GGA-PBE level.

Total moment in μB per atom: 0.401
Polymorph energy (0 for the lowest one) in eV/atom: 0.0000
Formation energy from the elements in eV/atom: 0.24

Cell lengths 4.739, 4.739, 4.739 Å; angles 90.00, 90.00, 90.00 degrees
Space group Pm-3m (No. 221)
Asymmetric unit:
Mn 0.000 0.000 0.000
Ge 0.000 0.000 0.500
Pb 0.500 0.500 0.500

***

Record 11
Below is a relaxed structure of MnGe2Pb, with properties calculated at the GGA-PBE level.

Total moment in μB per atom: 0.803
Formation energy from the elements in eV/atom: 0.33

Cell lengths 4.757, 4.757, 16.664 Å; angles 90.00, 90.00, 90.00 degrees
Space group I-42d (No. 122)
Asymmetric unit:
Mn 0.000 0.000 0.000
Ge 0.129 0.250 0.125
Pb 0.000 0.000 0.500

***

Record 12
Below is a relaxed structure of Mn2GePb, with properties calculated at the GGA-PBE level.

Total moment in μB per atom: 1.781
Polymorph energy (0 for the lowest one) in eV/atom: 0.0000
Formation energy from the elements in eV/atom: 0.56

Cell lengths 4.377, 4.377, 17.497 Å; angles 90.00, 90.00, 90.00 degrees
Space group I-42d (No. 122)
Asymmetric unit:
Mn 0.195 0.250 0.125
Ge 0.000 0.000 0.000
Pb 0.000 0.000 0.500

***

Repeat the seventh record exactly.
Below is a relaxed structure of PaMnVGe2, with properties calculated at the GGA-PBE level.

Total moment in μB per atom: 0.434
Formation energy from the elements in eV/atom: -0.34

Cell lengths 3.956, 3.956, 11.101 Å; angles 90.00, 90.00, 90.00 degrees
Space group I-4m2 (No. 119)
Asymmetric unit:
Pa 0.000 0.000 0.000
Mn 0.000 0.500 0.750
V 0.000 0.500 0.250
Ge 0.000 0.000 0.386

***

What did the eighth record say?
Below is a relaxed structure of PaMnVGe3, with properties calculated at the GGA-PBE level.

Total moment in μB per atom: 0.000
Formation energy from the elements in eV/atom: -0.07

Cell lengths 5.955, 9.951, 7.416 Å; angles 90.00, 90.00, 90.00 degrees
Space group Cmcm (No. 63)
Asymmetric unit:
Pa 0.000 0.224 0.250
Mn 0.000 0.446 0.250
V 0.000 0.075 0.750
Ge 0.000 0.310 0.750
Ge 0.243 0.500 0.000

***

> The lowest formation energy from the elements belongs to which entry?

Pa2MnGe3Rh4

***

> Look up the formation energy from the elements of the fourth one.

-0.66 eV/atom